Entry from Alexandria: crystalline BeMoSe2 at its relaxed geometry (GGA-PBE).

Properties
space-group type = I-42d, No. 122

Cell: 5.6681 5.6681 6.4140 Å, 63.78 63.78 90.00°
Each line ends with the local moment (μB).
Fractional positions:
Be 0.5000 0.5000 0.0000  0.05
Be 0.2500 0.7500 0.5000  0.05
Mo 0.0000 0.0000 0.0000  1.57
Mo 0.7500 0.2500 0.5000  1.58
Se 0.5805 0.1250 0.2500  0.00
Se 0.1695 0.6250 0.2500  0.00
Se 0.3750 0.4195 0.7500  0.00
Se 0.8750 0.8305 0.7500  0.00


Entry from Alexandria: crystalline BeMo2Se at its relaxed geometry (GGA-PBE).

Properties
space-group type = C2/m, No. 12
excess energy over the best structure of this formula in the dataset = 0.266 eV per atom

Cell: 4.5280 4.5280 4.5249 Å, 82.87 82.87 40.20°
Fractional positions:
Be 0.2500 0.2500 0.2500
Mo 0.9980 0.9980 0.0173
Mo 0.5020 0.5020 0.4827
Se 0.7500 0.7500 0.7500


Entry from Alexandria: crystalline BeMo2Se at its relaxed geometry (GGA-PBE).

Properties
space-group type = R3m, No. 160
excess energy over the best structure of this formula in the dataset = 0.307 eV per atom

Cell: 8.3477 8.3477 8.3477 Å, 20.43 20.43 20.43°
Fractional positions:
Be 0.7465 0.7465 0.7465
Mo 0.0048 0.0048 0.0048
Mo 0.2459 0.2459 0.2459
Se 0.5028 0.5028 0.5028


Entry from Alexandria: crystalline BeMoSe3 at its relaxed geometry (GGA-PBE).

Properties
space-group type = Pm-3m, No. 221
excess energy over the best structure of this formula in the dataset = 0.060 eV per atom

Cell: 4.9393 4.9393 4.9393 Å, 90.00 90.00 90.00°
Fractional positions:
Be 0.5000 0.5000 0.5000
Mo 0.0000 0.0000 0.0000
Se 0.0000 0.5000 0.0000
Se 0.0000 0.0000 0.5000
Se 0.5000 0.0000 0.0000


| no. | ΔE_f (raw) (meV/atom) |
| --- | --- |
| 1 | -6 |
| 2 | 292 |
| 3 | 333 |
| 4 | 651 |